[1]
5
Lattice="5.2771 0.0000 0.0000 0.0000 5.2771 0.0000 0.0000 0.0000 5.2771" Properties=species:S:1:pos:R:3 comment="Gd3PuFe | Alexandria | PBE | optimized geometry" dos_ef_per_ev_fu=12.95 formation_enthalpy_0k_ev_per_atom=0.208 pbc="T T T"
Gd 0.0000 0.0000 2.6386
Gd 0.0000 2.6386 0.0000
Gd 2.6386 0.0000 0.0000
Pu 2.6386 2.6386 2.6386
Fe 0.0000 0.0000 0.0000

***

[2]
4
Lattice="3.4075 0.0000 0.0000 0.0000 3.4075 0.0000 0.0000 0.0000 8.6144" Properties=species:S:1:pos:R:3 comment="Gd2PuFe | Alexandria | PBE | optimized geometry" dos_ef_per_ev_fu=10.32 formation_enthalpy_0k_ev_per_atom=0.189 pbc="T T T"
Gd 0.0000 0.0000 1.6361
Gd 0.0000 0.0000 6.9784
Pu 1.7037 1.7037 4.3072
Fe 1.7037 1.7037 0.0000

***

[3]
4
Lattice="4.7538 0.0000 0.0000 0.0000 4.7538 0.0000 0.0000 0.0000 3.3333" Properties=species:S:1:pos:R:3 comment="GdPuFe2 | Alexandria | PBE | optimized geometry" dos_ef_per_ev_fu=7.77 formation_enthalpy_0k_ev_per_atom=0.155 de_polymorph_mev_per_atom=64.8 pbc="T T T"
Gd 0.0000 0.0000 0.0000
Pu 2.3769 2.3769 0.0000
Fe 0.0000 2.3769 1.6666
Fe 2.3769 0.0000 1.6666

***

[4]
4
Lattice="0.0000 3.3449 3.3449 3.3449 0.0000 3.3449 3.3449 3.3449 0.0000" Properties=species:S:1:pos:R:3 comment="GdPuFe2 | Alexandria | PBE | optimized geometry" dos_ef_per_ev_fu=5.99 formation_enthalpy_0k_ev_per_atom=0.131 de_polymorph_mev_per_atom=40.6 pbc="T T T"
Gd 0.0000 0.0000 0.0000
Pu 3.3449 3.3449 3.3449
Fe 1.6725 1.6725 1.6725
Fe 5.0174 5.0174 5.0174

***

[5]
4
Lattice="3.3385 0.0000 0.0000 0.0000 3.3385 0.0000 0.0000 0.0000 6.7886" Properties=species:S:1:pos:R:3 comment="GdPuFe2 | Alexandria | PBE | optimized geometry" dos_ef_per_ev_fu=8.41 formation_enthalpy_0k_ev_per_atom=0.091 de_polymorph_mev_per_atom=0.0 pbc="T T T"
Gd 0.0000 0.0000 0.0000
Pu 0.0000 0.0000 3.3943
Fe 1.6692 1.6692 1.9880
Fe 1.6692 1.6692 4.8006

***

[6]
4
Lattice="1.5148 0.8746 9.7703 -1.5148 0.8746 9.7703 0.0000 -1.7491 9.7703" Properties=species:S:1:pos:R:3 comment="GdPuFe2 | Alexandria | PBE | optimized geometry" dos_ef_per_ev_fu=10.85 formation_enthalpy_0k_ev_per_atom=0.671 de_polymorph_mev_per_atom=580.1 pbc="T T T"
Gd 0.0000 0.0000 0.0000
Pu 0.0000 0.0000 14.6555
Fe 0.0000 0.0000 7.3210
Fe 0.0000 0.0000 21.9900

***

[7]
4
Lattice="0.0000 3.3942 3.3942 3.3942 0.0000 3.3942 3.3942 3.3942 0.0000" Properties=species:S:1:pos:R:3 comment="GdPuFeRu | Alexandria | PBE | optimized geometry" dos_ef_per_ev_fu=5.63 formation_enthalpy_0k_ev_per_atom=-0.057 pbc="T T T"
Gd 0.0000 0.0000 0.0000
Pu 3.3942 3.3942 3.3942
Fe 1.6971 1.6971 1.6971
Ru 5.0913 5.0913 5.0913

***

[8]
4
Lattice="0.0000 3.3864 3.3864 3.3864 0.0000 3.3864 3.3864 3.3864 0.0000" Properties=species:S:1:pos:R:3 comment="GdPuFeTc | Alexandria | PBE | optimized geometry" dos_ef_per_ev_fu=6.08 formation_enthalpy_0k_ev_per_atom=0.110 pbc="T T T"
Gd 0.0000 0.0000 0.0000
Pu 3.3864 3.3864 3.3864
Fe 1.6932 1.6932 1.6932
Tc 5.0796 5.0796 5.0796

***

[9]
6
Lattice="0.0000 3.4971 3.4971 3.4971 0.0000 3.4971 3.4971 3.4971 0.0000" Properties=species:S:1:pos:R:3 comment="GdFe4Re | Alexandria | PBE | optimized geometry" dos_ef_per_ev_fu=8.03 formation_enthalpy_0k_ev_per_atom=0.172 pbc="T T T"
Gd 0.0000 0.0000 0.0000
Fe 2.6342 2.6342 2.6342
Fe 4.3601 4.3601 2.6342
Fe 4.3601 2.6342 4.3601
Fe 2.6342 4.3601 4.3601
Re 5.2457 5.2457 5.2457

***

[10]
4
Lattice="4.8705 0.0000 0.0000 0.0000 4.8705 0.0000 0.0000 0.0000 3.4560" Properties=species:S:1:pos:R:3 comment="Gd2FeRh | Alexandria | PBE | optimized geometry" dos_ef_per_ev_fu=6.49 formation_enthalpy_0k_ev_per_atom=-0.291 de_polymorph_mev_per_atom=0.0 pbc="T T T"
Gd 0.0000 2.4352 0.0000
Gd 2.4352 0.0000 0.0000
Fe 0.0000 0.0000 1.7280
Rh 2.4352 2.4352 1.7280

***

[11]
4
Lattice="0.0000 3.4478 3.4478 3.4478 0.0000 3.4478 3.4478 3.4478 0.0000" Properties=species:S:1:pos:R:3 comment="Gd2FeRh | Alexandria | PBE | optimized geometry" dos_ef_per_ev_fu=7.09 formation_enthalpy_0k_ev_per_atom=-0.270 de_polymorph_mev_per_atom=21.8 pbc="T T T"
Gd 1.7239 1.7239 1.7239
Gd 5.1717 5.1717 5.1717
Fe 0.0000 0.0000 0.0000
Rh 3.4478 3.4478 3.4478

***

[12]
4
Lattice="0.0000 3.4331 3.4331 3.4331 0.0000 3.4331 3.4331 3.4331 0.0000" Properties=species:S:1:pos:R:3 comment="TbGdFeRh | Alexandria | PBE | optimized geometry" dos_ef_per_ev_fu=6.79 formation_enthalpy_0k_ev_per_atom=-0.256 pbc="T T T"
Tb 0.0000 0.0000 0.0000
Gd 3.4331 3.4331 3.4331
Fe 1.7165 1.7165 1.7165
Rh 5.1496 5.1496 5.1496

***

[13]
4
Lattice="0.0000 3.4041 3.4041 3.4041 0.0000 3.4041 3.4041 3.4041 0.0000" Properties=species:S:1:pos:R:3 comment="GdTmFeRh | Alexandria | PBE | optimized geometry" dos_ef_per_ev_fu=7.86 formation_enthalpy_0k_ev_per_atom=-0.317 pbc="T T T"
Gd 0.0000 0.0000 0.0000
Tm 3.4041 3.4041 3.4041
Fe 5.1062 5.1062 5.1062
Rh 1.7021 1.7021 1.7021

***

[14]
4
Lattice="0.0000 3.2476 3.2476 3.2476 0.0000 3.2476 3.2476 3.2476 0.0000" Properties=species:S:1:pos:R:3 comment="GdTaFeRu | Alexandria | PBE | optimized geometry" dos_ef_per_ev_fu=2.63 formation_enthalpy_0k_ev_per_atom=-0.032 pbc="T T T"
Gd 0.0000 0.0000 0.0000
Ta 3.2476 3.2476 3.2476
Fe 4.8713 4.8713 4.8713
Ru 1.6238 1.6238 1.6238

***

[15]
4
Lattice="0.0000 3.4339 3.4339 3.4339 0.0000 3.4339 3.4339 3.4339 0.0000" Properties=species:S:1:pos:R:3 comment="TbGdFeRu | Alexandria | PBE | optimized geometry" dos_ef_per_ev_fu=8.33 formation_enthalpy_0k_ev_per_atom=-0.024 pbc="T T T"
Tb 0.0000 0.0000 0.0000
Gd 3.4339 3.4339 3.4339
Fe 5.1508 5.1508 5.1508
Ru 1.7169 1.7169 1.7169

***

[16]
4
Lattice="0.0000 3.3829 3.3829 3.3829 0.0000 3.3829 3.3829 3.3829 0.0000" Properties=species:S:1:pos:R:3 comment="GdTmFeRu | Alexandria | PBE | optimized geometry" dos_ef_per_ev_fu=7.93 formation_enthalpy_0k_ev_per_atom=-0.055 pbc="T T T"
Gd 0.0000 0.0000 0.0000
Tm 3.3829 3.3829 3.3829
Fe 5.0743 5.0743 5.0743
Ru 1.6914 1.6914 1.6914

***

[17]
4
Lattice="0.0000 3.4351 3.4351 3.4351 0.0000 3.4351 3.4351 3.4351 0.0000" Properties=species:S:1:pos:R:3 comment="GdYFeRu | Alexandria | PBE | optimized geometry" dos_ef_per_ev_fu=8.59 formation_enthalpy_0k_ev_per_atom=-0.021 pbc="T T T"
Gd 0.0000 0.0000 0.0000
Y 3.4351 3.4351 3.4351
Fe 1.7175 1.7175 1.7175
Ru 5.1526 5.1526 5.1526

***

[18]
5
Lattice="4.9339 0.0000 0.0000 0.0000 4.9339 0.0000 0.0000 0.0000 4.9339" Properties=species:S:1:pos:R:3 comment="GdSc3Fe | Alexandria | PBE | optimized geometry" dos_ef_per_ev_fu=6.60 formation_enthalpy_0k_ev_per_atom=-0.005 pbc="T T T"
Gd 0.0000 0.0000 0.0000
Sc 0.0000 2.4670 2.4670
Sc 2.4670 0.0000 2.4670
Sc 2.4670 2.4670 0.0000
Fe 2.4670 2.4670 2.4670

***

[19]
4
Lattice="1.9544 1.1284 5.0380 -1.9544 1.1284 5.0380 0.0000 -2.2568 5.0380" Properties=species:S:1:pos:R:3 comment="GdFeSi2 | Alexandria | PBE | optimized geometry" dos_ef_per_ev_fu=3.03 raw_formation_energy_ev_per_atom=-0.652 pbc="T T T"
Gd 0.0000 0.0000 0.0000
Fe 0.0000 0.0000 7.5571
Si 0.0000 0.0000 3.1287
Si 0.0000 0.0000 11.9854

***

[20]
3
Lattice="4.0584 0.0000 0.0000 -2.0292 3.5147 0.0000 0.0000 0.0000 3.9142" Properties=species:S:1:pos:R:3 comment="GdFeSi | Alexandria | PBE | optimized geometry" dos_ef_per_ev_fu=2.78 raw_formation_energy_ev_per_atom=-0.427 pbc="T T T"
Gd 0.0000 0.0000 0.0000
Fe 2.0292 1.1716 1.9571
Si 0.0000 2.3431 1.9571

***

[21]
5
Lattice="-1.9870 1.9870 4.7887 1.9870 -1.9870 4.7887 1.9870 1.9870 -4.7887" Properties=species:S:1:pos:R:3 comment="GdFe2Si2 | Alexandria | PBE | optimized geometry" dos_ef_per_ev_fu=4.85 raw_formation_energy_ev_per_atom=-0.663 pbc="T T T"
Gd 0.0000 0.0000 0.0000
Fe 1.9870 0.0000 2.3943
Fe 0.0000 1.9870 2.3943
Si 0.0000 0.0000 3.4946
Si 0.0000 0.0000 6.0828

***

[22]
13
Lattice="5.8383 -2.4101 0.0000 5.8383 2.4101 0.0000 -5.8285 0.0000 5.9278" Properties=species:S:1:pos:R:3 comment="GdTiFe9Si2 | Alexandria | PBE | optimized geometry" dos_ef_per_ev_fu=12.15 raw_formation_energy_ev_per_atom=-0.227 pbc="T T T"
Gd 0.0000 0.0000 0.0000
Ti 2.1902 0.0000 2.2695
Fe -3.7208 0.0000 3.8378
Fe -1.2981 0.0000 4.5864
Fe 5.8358 1.1974 2.9769
Fe 4.6185 0.0000 1.2755
Fe 1.2389 0.0000 4.7161
Fe 3.7813 0.0000 3.8821
Fe 7.1926 0.0000 1.3693
Fe 9.5956 0.0000 2.0945
Fe 5.8358 -1.1974 2.9769
Si 2.9626 1.1971 5.9068
Si 2.9626 -1.1971 5.9068

***

[23]
6
Lattice="0.0000 3.6677 3.6677 3.6677 0.0000 3.6677 3.6677 3.6677 0.0000" Properties=species:S:1:pos:R:3 comment="SmGdFe4 | Alexandria | PBE | optimized geometry" dos_ef_per_ev_fu=8.47 formation_enthalpy_0k_ev_per_atom=0.019 pbc="T T T"
Sm 0.0000 0.0000 0.0000
Gd 1.8339 1.8339 1.8339
Fe 4.5818 2.7537 2.7537
Fe 2.7537 4.5818 2.7537
Fe 2.7537 2.7537 4.5818
Fe 4.5818 4.5818 4.5818

***

[24]
3
Lattice="-1.7121 1.7121 6.5030 1.7121 -1.7121 6.5030 1.7121 1.7121 -6.5030" Properties=species:S:1:pos:R:3 comment="SmGdFe | Alexandria | PBE | optimized geometry" dos_ef_per_ev_fu=3.48 formation_enthalpy_0k_ev_per_atom=0.096 pbc="T T T"
Sm 0.0000 0.0000 0.0000
Gd 0.0000 0.0000 9.7230
Fe 0.0000 0.0000 4.8288

***

[25]
5
Lattice="5.3561 0.0000 0.0000 0.0000 5.3561 0.0000 0.0000 0.0000 5.3561" Properties=species:S:1:pos:R:3 comment="Sm3GdFe | Alexandria | PBE | optimized geometry" dos_ef_per_ev_fu=9.43 formation_enthalpy_0k_ev_per_atom=0.163 pbc="T T T"
Sm 0.0000 0.0000 2.6780
Sm 0.0000 2.6780 0.0000
Sm 2.6780 0.0000 0.0000
Gd 2.6780 2.6780 2.6780
Fe 0.0000 0.0000 0.0000

***

[26]
4
Lattice="0.0000 3.5262 3.5262 3.5262 0.0000 3.5262 3.5262 3.5262 0.0000" Properties=species:S:1:pos:R:3 comment="SmGdZnFe | Alexandria | PBE | optimized geometry" dos_ef_per_ev_fu=5.34 formation_enthalpy_0k_ev_per_atom=-0.009 pbc="T T T"
Sm 0.0000 0.0000 0.0000
Gd 3.5262 3.5262 3.5262
Zn 5.2893 5.2893 5.2893
Fe 1.7631 1.7631 1.7631

***

[27]
4
Lattice="1.7808 1.0282 9.9637 -1.7808 1.0282 9.9637 0.0000 -2.0563 9.9637" Properties=species:S:1:pos:R:3 comment="Gd2FeSn | Alexandria | PBE | optimized geometry" dos_ef_per_ev_fu=3.98 formation_enthalpy_0k_ev_per_atom=0.235 de_polymorph_mev_per_atom=517.6 pbc="T T T"
Gd 0.0000 0.0000 3.2150
Gd 0.0000 0.0000 26.6760
Fe 0.0000 0.0000 14.9455
Sn 0.0000 0.0000 0.0000

***

[28]
4
Lattice="3.4819 0.0000 0.0000 0.0000 3.4819 0.0000 0.0000 0.0000 7.8277" Properties=species:S:1:pos:R:3 comment="Gd2FeSn | Alexandria | PBE | optimized geometry" dos_ef_per_ev_fu=2.93 formation_enthalpy_0k_ev_per_atom=-0.283 de_polymorph_mev_per_atom=0.0 pbc="T T T"
Gd 0.0000 0.0000 1.6692
Gd 0.0000 0.0000 6.1585
Fe 1.7410 1.7410 0.0000
Sn 1.7410 1.7410 3.9139

***

[29]
5
Lattice="5.4186 0.0000 0.0000 0.0000 5.4186 0.0000 0.0000 0.0000 5.4186" Properties=species:S:1:pos:R:3 comment="SrGd3Fe | Alexandria | PBE | optimized geometry" dos_ef_per_ev_fu=4.12 formation_enthalpy_0k_ev_per_atom=0.068 pbc="T T T"
Sr 0.0000 0.0000 0.0000
Gd 0.0000 2.7093 2.7093
Gd 2.7093 0.0000 2.7093
Gd 2.7093 2.7093 0.0000
Fe 2.7093 2.7093 2.7093

***

[30]
4
Lattice="1.9234 1.1105 10.7040 -1.9234 1.1105 10.7040 0.0000 -2.2209 10.7040" Properties=species:S:1:pos:R:3 comment="SrGd2Fe | Alexandria | PBE | optimized geometry" dos_ef_per_ev_fu=4.37 formation_enthalpy_0k_ev_per_atom=0.276 pbc="T T T"
Sr 0.0000 0.0000 0.0000
Gd 0.0000 0.0000 3.8063
Gd 0.0000 0.0000 28.3056
Fe 0.0000 0.0000 16.0560